# 1
A relaxed BPd2 crystal. Source: OQMD, functional GGA-PBE.

Computed properties:
Raw total energy, eV per atom: -4.73
Symmetry: Fd-3m (227)

```
BPd2
1.0
3.210 1.853 5.241
-3.210 1.853 5.241
0.000 -3.706 5.241
Pd B
4 2
Cartesian
1.605 -0.927 11.138
0.000 1.853 11.138
-1.605 -0.927 11.138
0.000 0.000 13.759
0.000 0.000 11.793
0.000 0.000 0.000
```



# 2
A relaxed Hg2Pb2O5 crystal. Source: OQMD, functional GGA-PBE.

Computed properties:
Raw total energy, eV per atom: -4.06
Symmetry: P4/mmm (123)

```
Hg2Pb2O5
1.0
8.668 0.000 0.000
0.000 4.115 0.000
0.000 0.000 4.115
O Hg Pb
5 2 2
Cartesian
1.475 0.000 2.057
4.334 2.057 2.057
1.475 2.057 0.000
7.193 2.057 0.000
7.193 0.000 2.057
4.334 0.000 0.000
0.000 0.000 0.000
6.484 2.057 2.057
2.184 2.057 2.057
```



# 3
A relaxed Cu2Si5 crystal. Source: OQMD, functional GGA-PBE.

Computed properties:
Raw total energy, eV per atom: -4.59
Symmetry: R3m (160)

```
Cu2Si5
1.0
-6.407 3.684 3.684
-3.684 3.684 6.407
-3.684 6.407 3.684
Si Cu
5 2
Cartesian
-10.549 10.549 10.549
-5.276 5.276 5.276
-8.678 8.678 8.678
-3.311 3.311 3.311
-11.912 11.912 11.912
-0.111 0.111 0.111
-6.654 6.654 6.654
```



# 4
A relaxed Lu2IrOs3 crystal. Source: OQMD, functional GGA-PBE.

Computed properties:
Symmetry: P6_3/mmc (194)
Energy of formation, eV per atom: -0.515

```
Lu2IrOs3
1.0
-2.610 -2.563 3.742
3.968 -2.333 -2.490
5.649 3.121 6.078
Ir Os Lu
2 6 4
Cartesian
2.825 1.561 3.039
0.000 0.000 0.000
2.754 -0.183 7.233
2.985 -2.838 1.916
4.253 -1.592 0.098
4.682 -1.316 6.023
2.325 -0.459 1.308
4.022 1.063 5.415
7.043 0.501 5.256
-0.037 -2.276 2.075
2.026 -1.136 4.294
4.981 -0.639 3.037
```



# 5
A relaxed Tm2Si3Mo2 crystal. Source: OQMD, functional GGA-PBE.

Computed properties:
Raw total energy, eV per atom: -6.95
Symmetry: C2/m (12)

```
Tm2Si3Mo2
1.0
-2.101 -3.712 4.659
-0.885 -5.899 2.079
6.349 2.395 0.964
Tm Si Mo
2 3 2
Cartesian
0.574 -4.880 4.407
2.789 -2.337 3.296
2.731 -5.551 5.993
0.632 -1.666 1.710
0.000 0.000 0.000
-1.359 -7.794 5.965
4.722 0.578 1.737
```



# 6
A relaxed LiFeSbW crystal. Source: OQMD, functional GGA-PBE.

Computed properties:
Raw total energy, eV per atom: -6.49
Symmetry: F-43m (216)

```
LiFeSbW
1.0
-0.336 -1.329 4.091
-0.387 2.889 3.182
-3.747 0.408 2.100
Fe Li W Sb
1 1 1 1
Cartesian
-3.352 1.476 7.030
-1.117 0.492 2.343
-2.235 0.984 4.686
0.000 0.000 0.000
```



# 7
A relaxed Y2Er4TmNi2Te2 crystal. Source: OQMD, functional GGA-PBE.

Computed properties:
Raw total energy, eV per atom: -5.50
Symmetry: Imm2 (44)

```
Y2Er4TmNi2Te2
1.0
-1.914 7.764 4.761
1.914 -7.764 4.761
1.914 7.764 -4.761
Y Ni Te Er Tm
2 2 2 4 1
Cartesian
1.914 5.724 3.763
1.914 -5.724 3.763
1.914 4.077 -0.904
0.000 3.687 3.857
0.000 0.000 1.353
0.000 7.764 2.289
1.914 2.277 2.350
0.000 10.632 0.917
0.000 4.896 0.917
1.914 -2.277 2.350
0.000 0.000 4.541
```



# 8
A relaxed PaTe3 crystal. Source: OQMD, functional GGA-PBE.

Computed properties:
Raw total energy, eV per atom: -5.48
Symmetry: P2_1/m (11)

```
PaTe3
1.0
6.125 0.000 0.000
0.000 4.224 0.000
-1.429 0.000 10.500
Pa Te
2 6
Cartesian
3.878 1.056 6.971
0.819 3.168 3.529
5.409 1.056 1.866
3.880 3.168 4.666
2.344 3.168 8.641
0.817 1.056 5.834
-0.713 3.168 8.634
2.352 1.056 1.859
```



# 9
A relaxed Nd2HoNi9 crystal. Source: OQMD, functional GGA-PBE.

Computed properties:
Symmetry: R-3m (166)
Energy of formation, eV per atom: -0.342

```
Nd2HoNi9
1.0
2.482 1.433 8.219
-2.482 1.433 8.219
0.000 -2.866 8.219
Ni Nd Ho
9 2 1
Cartesian
1.237 0.714 14.467
0.000 -1.428 14.467
0.000 0.000 12.328
0.000 0.000 8.206
1.237 -0.714 10.189
0.000 0.000 16.450
-1.237 -0.714 10.189
0.000 1.428 10.189
-1.237 0.714 14.467
0.000 0.000 3.416
0.000 0.000 21.240
0.000 0.000 0.000
```



# 10
A relaxed Y4Pd2O crystal. Source: OQMD, functional GGA-PBE.

Computed properties:
Raw total energy, eV per atom: -6.68
Symmetry: P4/mmm (123)

```
Y4Pd2O
1.0
4.837 0.000 0.000
0.000 4.837 0.000
0.000 0.000 6.780
O Pd Y
1 2 4
Cartesian
0.000 0.000 0.000
0.000 0.000 3.390
2.418 2.418 0.000
0.000 2.418 5.129
0.000 2.418 1.651
2.418 0.000 5.129
2.418 0.000 1.651
```



# 11
A relaxed Li2BeAg crystal. Source: OQMD, functional GGA-PBE.

Computed properties:
Raw total energy, eV per atom: -2.58
Symmetry: F-43m (216)

```
Li2BeAg
1.0
-3.471 -0.108 2.336
-3.707 -0.748 -1.793
-1.955 -3.638 0.676
Li Ag Be
2 1 1
Cartesian
-6.850 -3.371 0.914
0.000 0.000 0.000
-2.283 -1.124 0.305
-4.566 -2.248 0.609
```



# 12
A relaxed Er2AgS3 crystal. Source: OQMD, functional GGA-PBE.

Computed properties:
Raw total energy, eV per atom: -5.49
Symmetry: Pnma (62)

```
Er2AgS3
1.0
-0.184 -0.975 -8.514
3.122 -2.072 0.170
-8.535 -12.723 1.642
S Er Ag
12 8 4
Cartesian
-5.562 -10.242 -2.029
-7.134 -12.420 0.285
-0.254 -2.316 -2.889
-2.680 -6.283 -6.697
1.536 -3.350 -6.986
-4.256 -8.480 -4.544
-0.036 -5.528 -4.673
0.316 -4.654 -0.466
-1.342 -7.290 -2.158
-2.918 -9.487 -0.005
-5.344 -13.454 -3.813
-5.914 -11.117 -6.236
-4.031 -7.924 -1.895
1.829 -2.433 -1.186
-7.427 -13.337 -5.516
-3.850 -11.222 -4.039
-1.748 -4.549 -2.663
-4.410 -11.706 0.343
-1.188 -4.064 -7.045
-1.567 -7.846 -4.807
1.660 -2.958 -4.487
-4.240 -8.664 -7.071
-1.358 -7.106 0.369
-7.258 -12.812 -2.215
```